# 1
5
Lattice="-3.433 -3.945 0.275 1.176 -1.367 -4.917 3.775 -3.162 1.782" Properties=species:S:1:pos:R:3 comment="Cd3GeBi (PBE-GGA, relaxed)" formation_enthalpy_0k_mev_per_atom=365 dft_energy_ev_per_cell=-9.4 e_above_lowest_polymorph_ev_per_atom=0.000 crystal_system=cubic pbc="T T T"
Cd 0.588 -0.683 -2.458
Cd 1.888 -1.581 0.891
Cd -1.717 -1.972 0.138
Bi 0.759 -4.236 -1.430
Ge 0.000 0.000 0.000

=====

# 2
12
Lattice="6.002 0.000 0.000 -3.001 5.198 0.000 0.000 0.000 6.281" Properties=species:S:1:pos:R:3 comment="BiPdSe2O8 (PBE-GGA, relaxed)" dft_energy_ev_per_cell=-62.3 crystal_system=trigonal pbc="T T T"
O 4.677 0.765 1.349
O 1.676 4.433 4.932
O 1.325 0.765 1.349
Pd 0.000 0.000 0.000
O -1.676 4.433 4.932
Bi 0.000 0.000 3.141
O 0.000 1.530 4.932
Se 0.000 3.465 4.894
Se 3.001 1.733 1.388
O 0.000 3.465 3.245
O 3.001 1.733 3.037
O 3.001 3.668 1.349

=====

# 3
6
Lattice="-2.259 2.265 -2.652 -1.630 -3.405 1.736 -3.395 5.487 7.579" Properties=species:S:1:pos:R:3 comment="SrTcRh (PBE-GGA, relaxed)" formation_enthalpy_0k_mev_per_atom=285 dft_energy_ev_per_cell=-37.1 e_above_lowest_polymorph_ev_per_atom=0.194 crystal_system=hexagonal pbc="T T T"
Sr -1.697 2.744 3.789
Rh -2.898 1.747 0.705
Sr 0.000 0.000 0.000
Tc -2.688 -0.143 2.168
Tc -4.595 4.490 4.495
Rh -4.386 2.600 5.957

=====

# 4
5
Lattice="4.416 0.000 0.000 0.000 4.416 0.000 0.000 0.000 4.416" Properties=species:S:1:pos:R:3 comment="VRe3Ru (PBE-GGA, relaxed)" formation_enthalpy_0k_mev_per_atom=1729 dft_energy_ev_per_cell=-47.1 e_above_lowest_polymorph_ev_per_atom=0.000 crystal_system=cubic pbc="T T T"
Re 0.000 2.208 0.000
V 0.000 0.000 0.000
Re 2.208 0.000 0.000
Re 0.000 0.000 2.208
Ru 2.208 2.208 2.208

=====

# 5
4
Lattice="-1.581 -4.296 0.892 -0.516 -3.064 -3.478 2.874 -3.658 -0.331" Properties=species:S:1:pos:R:3 comment="PmHfCo2 (PBE-GGA, relaxed)" formation_enthalpy_0k_mev_per_atom=-71 dft_energy_ev_per_cell=-29.2 e_above_lowest_polymorph_ev_per_atom=0.121 crystal_system=cubic pbc="T T T"
Pm 0.000 0.000 0.000
Hf 0.389 -5.509 -1.458
Co 0.194 -2.754 -0.729
Co 0.583 -8.263 -2.187

=====

# 6
20
Lattice="4.496 0.000 0.000 0.000 7.156 -4.161 0.000 -0.670 10.442" Properties=species:S:1:pos:R:3 comment="NbTcW3 (PBE-GGA, relaxed)" formation_enthalpy_0k_mev_per_atom=-23 dft_energy_ev_per_cell=-237.6 e_above_lowest_polymorph_ev_per_atom=0.000 crystal_system=monoclinic pbc="T T T"
W 1.124 3.453 7.795
W 3.372 5.746 -1.077
Nb 3.372 4.566 6.645
W 3.373 1.833 6.224
W 3.372 3.033 -1.515
Nb 3.372 1.323 3.505
W 1.124 4.652 0.056
Tc 3.373 -0.389 8.523
W 3.372 6.276 1.625
W 3.372 0.808 0.788
Tc 1.124 6.875 -2.243
Tc 1.124 2.961 5.059
W 1.124 2.435 2.352
W 1.124 0.739 7.357
Nb 1.124 1.920 -0.365
Nb 1.124 5.163 2.775
Tc 3.372 3.524 1.222
W 1.124 0.210 4.655
W 3.373 4.050 3.929
W 1.124 5.678 5.492